# 1
GdTiClO3 (SCAN, single point on PBEsol structure); uncorrected formation energy = -20.06 eV/f.u.; magnetization = 13.95 μB per cell; crystal system = monoclinic; SG = No. 12
1.0
3.903 0.000 0.000
1.951 4.862 0.006
1.951 2.001 9.469
Gd O Ti Cl
2 6 2 2
direct
0.280 0.237 0.203
0.720 0.763 0.797
0.078 0.467 0.377
0.332 0.899 0.437
0.148 0.957 0.747
0.922 0.533 0.623
0.668 0.101 0.563
0.852 0.043 0.253
0.120 0.192 0.568
0.880 0.808 0.432
0.387 0.322 0.903
0.613 0.678 0.097

---

# 2
KTl2In (SCAN, single point on PBEsol structure); calculated formation energy = -0.1125 eV/atom; magnetization = 0.01 μB per cell; crystal system = tetragonal; SG = No. 99
1.0
-2.395 -0.415 3.024
2.971 -1.197 2.189
1.465 7.685 2.216
In Tl K
1 2 1
direct
0.000 0.000 0.453
0.000 0.000 0.041
0.500 0.500 0.257
0.500 0.500 0.749

---

# 3
CrHgP2S (SCAN, single point on PBEsol structure); uncorrected formation energy = 2.17 eV/f.u.; magnetization = 0.00 μB per cell; crystal system = tetragonal; SG = No. 123
1.0
4.360 0.000 0.000
0.000 4.508 0.000
0.000 0.000 4.508
Cr Hg P S
1 1 2 1
direct
0.000 0.000 0.000
0.500 0.500 0.500
0.000 0.000 0.500
0.000 0.500 0.000
0.500 0.000 0.000

---

# 4
Li3CuS2 (SCAN, single point on PBEsol structure); uncorrected formation energy = -6.56 eV/f.u.; magnetization = 0.00 μB per cell; crystal system = cubic; SG = No. 214
1.0
7.833 0.000 0.000
-2.611 7.385 0.000
-2.611 -3.693 6.396
S Li Cu
8 12 4
direct
0.480 0.000 0.000
0.020 0.020 0.520
0.500 0.480 0.500
0.500 0.020 0.500
0.000 0.500 0.520
0.480 0.480 0.980
0.000 0.500 0.980
0.020 0.000 0.000
0.617 0.367 0.250
0.617 0.250 0.867
0.367 0.750 0.117
0.250 0.883 0.633
0.250 0.367 0.117
0.750 0.133 0.383
0.883 0.133 0.750
0.367 0.617 0.750
0.133 0.250 0.383
0.883 0.750 0.633
0.133 0.883 0.250
0.750 0.617 0.867
0.750 0.000 0.000
0.000 0.500 0.250
0.500 0.750 0.500
0.750 0.750 0.250

---

# 5
Tc2Ni (SCAN, single point on PBEsol structure); calculated formation energy = -0.0366 eV/atom; magnetization = 0.00 μB per cell; crystal system = orthorhombic; SG = No. 63
1.0
-0.516 0.361 2.578
-4.123 -0.223 -0.794
0.435 -6.977 -0.303
Ni Tc
2 4
direct
0.111 0.250 0.221
0.889 0.750 0.779
0.446 0.250 0.893
0.779 0.250 0.558
0.221 0.750 0.442
0.554 0.750 0.107

---

# 6
UFe2B6 (SCAN, single point on PBEsol structure); calculated formation energy = -0.4235 eV/atom; magnetization = 1.59 μB per cell; crystal system = orthorhombic; SG = No. 71
1.0
-0.242 -0.580 -3.024
3.094 -4.180 -1.024
-2.896 -4.411 -0.499
U B Fe
1 6 2
direct
0.000 0.500 0.500
0.697 0.564 0.043
0.303 0.436 0.957
0.500 0.854 0.146
0.697 0.043 0.564
0.500 0.146 0.854
0.303 0.957 0.436
0.151 0.849 0.849
0.849 0.151 0.151